# 1
4
Lattice="1.3755 -2.3828 0.0000 1.3755 2.3828 0.0000 0.0000 0.0000 9.3721" Properties=species:S:1:pos:R:3 comment="LiIr2Au (PBE, relaxed)" polymorph_energy_ev_per_atom=0.171 formation_energy_ev_per_atom=0.121 n_ef_per_ev_cell=3.270 pbc="T T T"
Li 0.0000 0.0000 0.0000
Ir 0.0000 0.0000 4.8801
Ir 1.3755 0.0000 7.1391
Au 1.3755 0.0000 2.2967

***

# 2
4
Lattice="2.3043 1.3304 8.1789 -2.3043 1.3304 8.1789 0.0000 -2.6608 8.1789" Properties=species:S:1:pos:R:3 comment="Ba2HgRh (PBE, relaxed)" formation_energy_ev_per_atom=-0.219 n_ef_per_ev_cell=2.888 pbc="T T T"
Ba 0.0000 0.0000 0.0000
Ba 0.0000 0.0000 4.9289
Hg 0.0000 0.0000 10.7075
Rh 0.0000 0.0000 14.6738